KMgTl2 (PBE, relaxed); E_form = -0.03 eV per atom; magnetic moment = 0.00 μB/cell; volume = 35.5 Å³/atom; SG = R3m
1.0
2.503 1.445 6.545
-2.503 1.445 6.545
0.000 -2.890 6.545
K Mg Tl
1 1 2
Direct
0.000 0.000 0.000 K
0.813 0.813 0.813 Mg
0.211 0.211 0.211 Tl
0.451 0.451 0.451 Tl